# 1
Below is an optimized crystal structure of ZnSnF2, with properties calculated at the GGA-PBE level.

Output
* Fermi-level density of states: 0.51 states/eV per cell
* ΔE to the lowest computed polymorph: 28.5 kJ/mol of atoms
* crystal system: cubic
* magnetization: 0.0 μB per formula unit

Cell: 6.367 6.367 6.367 Å, 90.00 90.00 90.00°
Space group Fm-3m (No. 225)
Inequivalent atoms, fractional coordinates:
1 Zn 0.000 0.000 0.000 (multiplicity 4)
2 Sn 0.000 0.000 0.500 (multiplicity 4)
3 F 0.250 0.250 0.250 (multiplicity 8)

=====

# 2
Below is an optimized crystal structure of ZnSn2F6, with properties calculated at the GGA-PBE level.

Output
* Fermi-level density of states: 0.00 states/eV per cell
* ΔE to the lowest computed polymorph: 6.9 kJ/mol of atoms
* crystal system: triclinic
* magnetization: 0.0 μB per formula unit

Cell: 3.479 5.506 7.996 Å, 97.45 90.43 107.77°
Space group P-1 (No. 2)
Inequivalent atoms, fractional coordinates:
1 Zn 0.000 0.000 0.000 (multiplicity 1)
2 Sn 0.254 0.483 0.713 (multiplicity 2)
3 F 0.106 0.209 0.234 (multiplicity 2)
4 F 0.340 0.683 0.482 (multiplicity 2)
5 F 0.393 0.777 0.050 (multiplicity 2)

=====

# 3
Below is an optimized crystal structure of ZnSnF2, with properties calculated at the GGA-PBE level.

Output
* Fermi-level density of states: 0.03 states/eV per cell
* ΔE to the lowest computed polymorph: 21.5 kJ/mol of atoms
* crystal system: trigonal
* magnetization: 0.0 μB per formula unit

Cell: 3.0118 3.0118 23.6174 Å, 90.00 90.00 120.00°
Space group R-3m (No. 166, hexagonal axes)
Inequivalent atoms, fractional coordinates:
1 Zn 0.0000 0.0000 0.0000 (multiplicity 3)
2 Sn 0.0000 0.0000 0.5000 (multiplicity 3)
3 F 0.0000 0.0000 0.0868 (multiplicity 6)

=====

# 4
Below is an optimized crystal structure of ZnSnF4, with properties calculated at the GGA-PBE level.

Output
* Fermi-level density of states: 0.00 states/eV per cell
* DFT total energy: -4.398 eV/atom
* crystal system: monoclinic
* magnetization: 0.0 μB per formula unit

Cell: 7.320 11.472 5.240 Å, 90.00 126.64 90.00°
Space group C2/c (No. 15)
Inequivalent atoms, fractional coordinates:
1 Zn 0.000 0.082 0.250 (multiplicity 4)
2 Sn 0.000 0.356 0.750 (multiplicity 4)
3 F 0.144 0.209 0.142 (multiplicity 8)
4 F 0.217 0.035 0.716 (multiplicity 8)

=====

# 5
Below is an optimized crystal structure of ZnSnF4, with properties calculated at the GGA-PBE level.

Output
* Fermi-level density of states: 0.00 states/eV per cell
* DFT total energy: -4.399 eV/atom
* crystal system: triclinic
* magnetization: 0.0 μB per formula unit

Cell: 5.085 5.678 7.085 Å, 108.50 107.46 90.76°
Space group P1 (No. 1)
Inequivalent atoms, fractional coordinates:
1 Zn 0.000 0.000 0.000 (multiplicity 1)
2 Zn 0.495 0.536 0.989 (multiplicity 1)
3 Sn 0.223 0.589 0.396 (multiplicity 1)
4 Sn 0.781 0.181 0.569 (multiplicity 1)
5 F 0.043 0.948 0.703 (multiplicity 1)
6 F 0.154 0.437 0.714 (multiplicity 1)
7 F 0.271 0.797 0.136 (multiplicity 1)
8 F 0.306 0.316 0.110 (multiplicity 1)
9 F 0.677 0.737 0.868 (multiplicity 1)
10 F 0.726 0.251 0.886 (multiplicity 1)
11 F 0.809 0.671 0.280 (multiplicity 1)
12 F 0.987 0.208 0.301 (multiplicity 1)

=====

# 6
Below is an optimized crystal structure of ZnSn2F, with properties calculated at the GGA-PBE level.

Output
* Fermi-level density of states: 8.28 states/eV per cell
* ΔE to the lowest computed polymorph: 0.0 kJ/mol of atoms
* crystal system: cubic
* magnetization: 0.0 μB per formula unit

Cell: 6.730 6.730 6.730 Å, 90.00 90.00 90.00°
Space group Fm-3m (No. 225)
Inequivalent atoms, fractional coordinates:
1 Zn 0.000 0.000 0.000 (multiplicity 4)
2 Sn 0.250 0.250 0.250 (multiplicity 8)
3 F 0.000 0.000 0.500 (multiplicity 4)

=====

# 7
Below is an optimized crystal structure of ZnSnF, with properties calculated at the GGA-PBE level.

Output
* Fermi-level density of states: 2.54 states/eV per cell
* DFT total energy: -3.300 eV/atom
* crystal system: orthorhombic
* magnetization: 0.0 μB per formula unit

Cell: 13.566 3.232 5.388 Å, 90.00 90.00 90.00°
Space group Amm2 (No. 38)
Inequivalent atoms, fractional coordinates:
1 Zn 0.000 0.000 0.000 (multiplicity 2)
2 Zn 0.500 0.000 0.246 (multiplicity 2)
3 Sn 0.325 0.000 0.887 (multiplicity 4)
4 F 0.088 0.000 0.335 (multiplicity 4)

=====

# 8
Below is an optimized crystal structure of ZrSn2F, with properties calculated at the GGA-PBE level.

Output
* Fermi-level density of states: 19.26 states/eV per cell
* ΔE to the lowest computed polymorph: 19.6 kJ/mol of atoms
* crystal system: tetragonal
* magnetization: 0.0 μB per formula unit

Cell: 5.140 5.140 15.730 Å, 90.00 90.00 90.00°
Space group I-42d (No. 122)
Inequivalent atoms, fractional coordinates:
1 Zr 0.000 0.000 0.000 (multiplicity 4)
2 Sn 0.164 0.250 0.625 (multiplicity 8)
3 F 0.000 0.000 0.500 (multiplicity 4)

=====

# 9
Below is an optimized crystal structure of Zr2SnF, with properties calculated at the GGA-PBE level.

Output
* Fermi-level density of states: 14.63 states/eV per cell
* ΔE to the lowest computed polymorph: 0.0 kJ/mol of atoms
* crystal system: cubic
* magnetization: 0.0 μB per formula unit

Cell: 6.829 6.829 6.829 Å, 90.00 90.00 90.00°
Space group Fm-3m (No. 225)
Inequivalent atoms, fractional coordinates:
1 Zr 0.250 0.250 0.250 (multiplicity 8)
2 Sn 0.000 0.000 0.000 (multiplicity 4)
3 F 0.000 0.000 0.500 (multiplicity 4)

=====

# 10
Below is an optimized crystal structure of ZrSn3F, with properties calculated at the GGA-PBE level.

Output
* Fermi-level density of states: 3.49 states/eV per cell
* ΔE to the lowest computed polymorph: 0.0 kJ/mol of atoms
* crystal system: cubic
* magnetization: 0.0 μB per formula unit

Cell: 4.831 4.831 4.831 Å, 90.00 90.00 90.00°
Space group Pm-3m (No. 221)
Inequivalent atoms, fractional coordinates:
1 Zr 0.000 0.000 0.000 (multiplicity 1)
2 Sn 0.000 0.500 0.500 (multiplicity 3)
3 F 0.500 0.500 0.500 (multiplicity 1)

=====

# 11
Below is an optimized crystal structure of ZrSnF2, with properties calculated at the GGA-PBE level.

Output
* Fermi-level density of states: 3.02 states/eV per cell
* ΔE to the lowest computed polymorph: 2.1 kJ/mol of atoms
* crystal system: tetragonal
* magnetization: 0.0 μB per formula unit

Cell: 4.270 4.270 14.822 Å, 90.00 90.00 90.00°
Space group I-42d (No. 122)
Inequivalent atoms, fractional coordinates:
1 Zr 0.000 0.000 0.000 (multiplicity 4)
2 Sn 0.000 0.000 0.500 (multiplicity 4)
3 F 0.117 0.250 0.125 (multiplicity 8)

=====

# 12
Below is an optimized crystal structure of ZrSnF2, with properties calculated at the GGA-PBE level.

Output
* Fermi-level density of states: 14.01 states/eV per cell
* ΔE to the lowest computed polymorph: 62.9 kJ/mol of atoms
* crystal system: cubic
* magnetization: 0.0 μB per formula unit

Cell: 6.362 6.362 6.362 Å, 90.00 90.00 90.00°
Space group Fm-3m (No. 225)
Inequivalent atoms, fractional coordinates:
1 Zr 0.000 0.000 0.000 (multiplicity 4)
2 Sn 0.000 0.000 0.500 (multiplicity 4)
3 F 0.250 0.250 0.250 (multiplicity 8)